Entry 1:
The following is a DFT calculation (PBE) of an optimized crystal structure of Nd8Ag2Au.

Fermi-level density of states, states/eV per cell: 23.429
Total DFT energy (no corrections), eV per atom: -4.481

Cell and atoms, written as CIF:
```
data_Nd8Ag2Au
_chemical_formula_sum 'Nd16 Ag4 Au2'
_space_group_name_H-M_alt 'C 1 2/m 1'
_space_group_IT_number 12
_space_group_name_Hall '-C 2y'
_cell_length_a 18.583
_cell_length_b 5.314
_cell_length_c 7.090
_cell_angle_alpha 90.00
_cell_angle_beta 106.00
_cell_angle_gamma 90.00
loop_
_atom_site_label
_atom_site_type_symbol
_atom_site_fract_x
_atom_site_fract_y
_atom_site_fract_z
Nd1 Nd 0.024 0.000 0.275
Nd2 Nd 0.091 0.500 0.959
Nd3 Nd 0.166 0.500 0.486
Nd4 Nd 0.200 0.000 0.830
Ag1 Ag 0.181 0.000 0.236
Au1 Au 0.000 0.500 0.500
```

Entry 2:
The following is a DFT calculation (PBE) of an optimized crystal structure of Sm8Sb6Te.

Energy relative to the elements, uncorrected, eV/f.u.: -12.915
Fermi-level density of states, states/eV per cell: 10.466

Cell and atoms, written as CIF:
```
data_Sm8Sb6Te
_chemical_formula_sum 'Sm8 Sb6 Te1'
_space_group_name_H-M_alt 'P -3'
_space_group_IT_number 147
_space_group_name_Hall '-P 3'
_cell_length_a 10.8874
_cell_length_b 10.8874
_cell_length_c 4.7339
_cell_angle_alpha 90.00
_cell_angle_beta 90.00
_cell_angle_gamma 120.00
loop_
_atom_site_label
_atom_site_type_symbol
_atom_site_fract_x
_atom_site_fract_y
_atom_site_fract_z
Sm1 Sm 0.0292 0.3122 0.2367
Sm2 Sm 0.3333 0.6667 0.7574
Sb1 Sb 0.1218 0.6461 0.2596
Te1 Te 0.0000 0.0000 0.0000
```

Entry 3:
The following is a DFT calculation (PBE) of an optimized crystal structure of In6SnPb12.

Energy above the most stable polymorph in this dataset, eV per atom: 0.016
Fermi-level density of states, states/eV per cell: 30.000

Cell and atoms, written as CIF:
```
data_In6SnPb12
_chemical_formula_sum 'In18 Sn3 Pb36'
_space_group_name_H-M_alt 'R -3'
_space_group_IT_number 148
_space_group_name_Hall '-R 3'
_cell_length_a 14.0252
_cell_length_b 14.0252
_cell_length_c 10.6496
_cell_angle_alpha 90.00
_cell_angle_beta 90.00
_cell_angle_gamma 120.00
loop_
_atom_site_label
_atom_site_type_symbol
_atom_site_fract_x
_atom_site_fract_y
_atom_site_fract_z
In1 In 0.0263 0.1393 0.2044
Sn1 Sn 0.0000 0.0000 0.5000
Pb1 Pb 0.0629 0.4625 0.6093
Pb2 Pb 0.0693 0.4870 0.1281
```

Entry 4:
The following is a DFT calculation (PBE) of an optimized crystal structure of RbSr2AlIr.

Fermi-level density of states, states/eV per cell: 3.111
Total DFT energy (no corrections), eV per atom: -3.494

Cell and atoms, written as CIF:
```
data_RbSr2AlIr
_chemical_formula_sum 'Rb1 Sr2 Al1 Ir1'
_space_group_name_H-M_alt 'P 4/m m m'
_space_group_IT_number 123
_space_group_name_Hall '-P 4 2'
_cell_length_a 6.009
_cell_length_b 6.009
_cell_length_c 4.959
_cell_angle_alpha 90.00
_cell_angle_beta 90.00
_cell_angle_gamma 90.00
loop_
_atom_site_label
_atom_site_type_symbol
_atom_site_fract_x
_atom_site_fract_y
_atom_site_fract_z
Rb1 Rb 0.000 0.000 0.000
Sr1 Sr 0.000 0.500 0.500
Al1 Al 0.500 0.500 0.000
Ir1 Ir 0.500 0.500 0.500
```